Material: NaV3O
Method: DFT, PBE with a Hubbard U
State: optimized geometry

Computed properties:
E above lowest polymorph (kJ/mol of formula units): 0.0
Total DFT energy (no corrections) (eV/atom): -5.34

Cell: 4.451 4.451 4.451 Å, 90.00 90.00 90.00°
Sites, in units of the cell vectors:
Na1 0.000 0.000 0.000
V1 0.000 0.500 0.500
V2 0.500 0.000 0.500
V3 0.500 0.500 0.000
O1 0.500 0.500 0.500